Material: LiIn2Pb
Method: DFT, meta-GGA SCAN
State: single point on PBEsol structure

abc: 3.265 3.265 8.908
angles: 90.00 90.00 90.00
Positions (direct):
Li 0.000 0.000 0.000
In 0.000 0.000 0.475
In 0.500 0.500 0.208
Pb 0.500 0.500 0.772

ΔH_f (0 K): -0.13 eV/atom
Raw total energy: -36.37 eV/atom